Pm4PdPt after structural relaxation, computed with PBE.

Values from the calculation:
spin magnetization	0.00	μB per cell
theoretical density	8.270	g cm⁻³
density of states at the Fermi level	9.29	states/eV/f.u.
energy above the lowest structure with this stoichiometry	0.27	eV per formula unit
energy of formation	-3.3	eV per formula unit
crystal system	monoclinic

abc: 7.062 7.062 7.097
angles: 90.00 90.07 90.00
Space group C2/m (No. 12)
Inequivalent atoms, fractional coordinates:
Pm: 0.250 0.250 0.245 (multiplicity 8)
Pd: 0.000 0.000 0.500 (multiplicity 2)
Pt: 0.000 0.500 0.000 (multiplicity 2)